Entry 1:
LaOs3 (PBE, optimized geometry); Fermi-level density of states = 1.032 states/eV/atom; energy of formation from the pure elements = 532.5 meV per atom; DFT total energy = -9.122 eV per atom
1.0
-1.920 3.309 4.449
-4.254 -2.001 -3.511
-0.390 -3.687 2.573
Os La
6 2
Direct
0.542 0.886 0.750 Os
0.886 0.542 0.250 Os
0.425 0.575 0.250 Os
0.458 0.114 0.250 Os
0.575 0.425 0.750 Os
0.114 0.458 0.750 Os
0.087 0.913 0.750 La
0.913 0.087 0.250 La

=====

Entry 2:
LaOs (PBE, optimized geometry); Fermi-level density of states = 1.418 states/eV/atom; energy of formation from the pure elements = 580.8 meV per atom; DFT total energy = -7.498 eV per atom
1.0
-0.996 -1.497 4.878
0.437 -3.551 -3.771
7.930 -0.561 1.447
La Os
4 4
Direct
0.000 0.000 0.250 La
0.333 0.667 0.250 La
0.667 0.333 0.750 La
0.000 0.000 0.750 La
0.333 0.667 0.896 Os
0.667 0.333 0.396 Os
0.667 0.333 0.104 Os
0.333 0.667 0.604 Os

=====

Entry 3:
LaOs3 (PBE, optimized geometry); Fermi-level density of states = 1.169 states/eV/atom; energy of formation from the pure elements = 779.7 meV per atom; DFT total energy = -8.874 eV per atom
1.0
-2.310 1.840 -3.875
-3.949 -2.631 1.105
-1.026 2.245 1.678
Os La
3 1
Direct
0.500 0.000 0.500 Os
0.500 0.500 0.000 Os
0.000 0.500 0.500 Os
0.000 0.000 0.000 La

=====

Entry 4:
LaOs (PBE, optimized geometry); Fermi-level density of states = 0.500 states/eV/atom; energy of formation from the pure elements = -16.8 meV per atom; DFT total energy = -8.095 eV per atom
1.0
9.414 0.000 0.000
0.000 7.748 0.000
0.000 0.000 5.745
Os La
8 8
Direct
0.481 0.060 0.863 Os
0.019 0.940 0.363 Os
0.519 0.560 0.637 Os
0.120 0.230 0.354 Os
0.981 0.440 0.137 Os
0.620 0.270 0.646 Os
0.880 0.730 0.146 Os
0.380 0.770 0.854 Os
0.722 0.859 0.661 La
0.278 0.359 0.839 La
0.222 0.641 0.339 La
0.389 0.059 0.357 La
0.778 0.141 0.161 La
0.889 0.441 0.643 La
0.111 0.941 0.857 La
0.611 0.559 0.143 La

=====

Entry 5:
La4Os (PBE, optimized geometry); Fermi-level density of states = 1.277 states/eV/atom; excess energy over the best structure of this formula in the dataset = 284 meV/atom; energy of formation from the pure elements = 141.8 meV per atom; DFT total energy = -6.046 eV per atom
1.0
-3.471 3.471 3.471
3.471 -3.471 3.471
3.471 3.471 -3.471
La Os
4 1
Direct
0.500 0.000 0.000 La
0.000 0.000 0.500 La
0.000 0.500 0.000 La
0.500 0.500 0.500 La
0.000 0.000 0.000 Os

=====

Entry 6:
La3Os (PBE, optimized geometry); Fermi-level density of states = 1.090 states/eV/atom; energy of formation from the pure elements = 229.9 meV per atom; DFT total energy = -6.273 eV per atom
1.0
6.627 0.000 0.000
-3.314 5.739 0.000
0.000 0.000 11.355
La Os
12 4
Direct
0.500 0.500 0.500 La
0.500 0.000 0.500 La
0.848 0.696 0.250 La
0.500 0.000 0.000 La
0.152 0.848 0.750 La
0.000 0.500 0.000 La
0.000 0.500 0.500 La
0.152 0.304 0.750 La
0.848 0.152 0.250 La
0.696 0.848 0.750 La
0.500 0.500 0.000 La
0.304 0.152 0.250 La
0.000 0.000 0.500 Os
0.000 0.000 0.000 Os
0.333 0.667 0.250 Os
0.667 0.333 0.750 Os

=====

Entry 7:
La3Os (PBE, optimized geometry); Fermi-level density of states = 1.157 states/eV/atom; energy of formation from the pure elements = -20.7 meV per atom; DFT total energy = -6.524 eV per atom
1.0
-4.209 4.049 -2.834
-6.238 -1.263 1.275
5.754 1.589 2.551
La Os
3 1
Direct
0.378 0.312 0.066 La
0.057 0.500 0.557 La
0.754 0.688 0.066 La
0.644 0.000 0.644 Os

=====

Entry 8:
La3Os (PBE, optimized geometry); Fermi-level density of states = 0.899 states/eV/atom; energy of formation from the pure elements = 213.0 meV per atom; DFT total energy = -6.290 eV per atom
1.0
-0.660 -4.876 3.328
4.623 1.656 3.342
-3.671 2.961 3.610
La Os
6 2
Direct
0.500 0.000 0.250 La
0.000 0.750 0.500 La
0.500 0.000 0.750 La
0.000 0.250 0.500 La
0.250 0.500 0.000 La
0.750 0.500 0.000 La
0.500 0.500 0.500 Os
0.000 0.000 0.000 Os

=====

Entry 9:
LaOs (PBE, optimized geometry); Fermi-level density of states = 1.942 states/eV/atom; energy of formation from the pure elements = 1268.0 meV per atom; DFT total energy = -6.811 eV per atom
1.0
4.508 0.000 0.000
2.254 3.904 0.000
-2.254 -1.301 3.681
La Os
1 1
Direct
0.000 0.000 0.000 La
0.750 0.750 0.250 Os

=====

Entry 10:
LaOs (PBE, optimized geometry); Fermi-level density of states = 0.682 states/eV/atom; energy of formation from the pure elements = 151.6 meV per atom; DFT total energy = -7.927 eV per atom
1.0
-2.396 -8.703 -7.174
3.615 1.538 -3.073
3.483 -3.069 2.560
Os La
6 6
Direct
0.750 0.000 0.750 Os
0.000 0.013 0.500 Os
0.250 0.000 0.750 Os
0.250 0.000 0.250 Os
0.750 0.000 0.250 Os
0.500 0.987 0.000 Os
0.851 0.494 0.500 La
0.000 0.946 0.000 La
0.649 0.506 0.000 La
0.500 0.054 0.500 La
0.351 0.506 0.000 La
0.149 0.494 0.500 La

=====

Entry 11:
LaOs (PBE, optimized geometry); Fermi-level density of states = 1.624 states/eV/atom; energy of formation from the pure elements = 431.3 meV per atom; DFT total energy = -7.647 eV per atom
1.0
4.910 0.000 0.000
2.455 4.252 0.000
2.455 1.417 4.009
Os La
2 2
Direct
0.750 0.750 0.750 Os
0.500 0.500 0.500 Os
0.000 0.000 0.000 La
0.250 0.250 0.250 La

=====

Entry 12:
LaOs (PBE, optimized geometry); Fermi-level density of states = 1.245 states/eV/atom; energy of formation from the pure elements = -29.4 meV per atom; DFT total energy = -8.108 eV per atom
1.0
4.331 0.000 0.000
-2.165 3.750 0.000
0.000 0.000 13.423
La Os
4 4
Direct
0.333 0.667 0.606 La
0.667 0.333 0.394 La
0.333 0.667 0.894 La
0.667 0.333 0.106 La
0.000 0.000 0.750 Os
0.333 0.667 0.250 Os
0.667 0.333 0.750 Os
0.000 0.000 0.250 Os

=====

Entry 13:
LaOs3 (PBE, optimized geometry); Fermi-level density of states = 1.718 states/eV/atom; energy of formation from the pure elements = 3870.9 meV per atom; DFT total energy = -5.783 eV per atom
1.0
4.962 0.000 0.000
0.000 4.962 0.000
0.000 0.000 4.962
Os La
3 1
Direct
0.000 0.500 0.000 Os
0.500 0.000 0.000 Os
0.000 0.000 0.500 Os
0.000 0.000 0.000 La

=====

Entry 14:
La3Os (PBE, optimized geometry); Fermi-level density of states = 0.862 states/eV/atom; energy of formation from the pure elements = 38.4 meV per atom; DFT total energy = -6.465 eV per atom
1.0
3.556 0.024 0.000
-0.317 3.542 0.000
0.000 0.000 10.024
La Os
3 1
Direct
0.000 0.000 0.077 La
0.000 0.000 0.423 La
0.500 0.500 0.750 La
0.500 0.500 0.250 Os

=====

Entry 15:
La3Os (PBE, optimized geometry); Fermi-level density of states = 1.094 states/eV/atom; energy of formation from the pure elements = 191.2 meV per atom; DFT total energy = -6.312 eV per atom
1.0
0.272 2.504 6.095
-3.807 2.850 -4.569
-4.348 -3.314 1.556
La Os
6 2
Direct
0.642 0.821 0.750 La
0.821 0.179 0.250 La
0.179 0.358 0.750 La
0.821 0.642 0.250 La
0.179 0.821 0.750 La
0.358 0.179 0.250 La
0.667 0.333 0.750 Os
0.333 0.667 0.250 Os

=====

Entry 16:
LaOs3 (PBE, optimized geometry); Fermi-level density of states = 1.074 states/eV/atom; energy of formation from the pure elements = 381.5 meV per atom; DFT total energy = -9.273 eV per atom
1.0
2.919 0.000 0.000
0.000 2.919 0.000
0.000 0.000 8.294
La Os
1 3
Direct
0.000 0.000 0.000 La
0.000 0.000 0.500 Os
0.500 0.500 0.704 Os
0.500 0.500 0.296 Os

=====

Entry 17:
La3Os2 (PBE, optimized geometry); Fermi-level density of states = 0.842 states/eV/atom; excess energy over the best structure of this formula in the dataset = 237 meV/atom; energy of formation from the pure elements = 222.0 meV per atom; DFT total energy = -7.226 eV per atom
1.0
3.758 -8.106 -2.500
-2.190 -7.763 -1.309
2.068 -0.762 -5.661
La Os
6 4
Direct
0.492 0.292 0.508 La
0.350 0.150 0.150 La
0.100 0.900 0.900 La
0.742 0.542 0.758 La
0.958 0.758 0.542 La
0.708 0.508 0.292 La
0.568 0.368 0.932 Os
0.318 0.118 0.682 Os
0.132 0.932 0.368 Os
0.882 0.682 0.118 Os

=====

Entry 18:
LaPOs2 (PBE, optimized geometry); Fermi-level density of states = 0.611 states/eV/atom; energy of formation from the pure elements = -91.1 meV per atom; DFT total energy = -8.290 eV per atom
1.0
4.855 0.000 0.000
0.000 4.855 0.000
2.428 2.428 7.919
P La Os
2 2 4
Direct
0.250 0.750 0.500 P
0.500 0.500 0.000 P
0.000 0.000 0.000 La
0.750 0.250 0.500 La
0.875 0.625 0.750 Os
0.375 0.625 0.250 Os
0.375 0.625 0.750 Os
0.375 0.125 0.250 Os

=====

Entry 19:
LaPOs4 (PBE, optimized geometry); Fermi-level density of states = 1.646 states/eV/atom; energy of formation from the pure elements = 569.0 meV per atom; DFT total energy = -8.640 eV per atom
1.0
0.000 3.774 3.774
3.774 0.000 3.774
3.774 3.774 0.000
P Os La
1 4 1
Direct
0.750 0.750 0.750 P
0.872 0.376 0.376 Os
0.376 0.376 0.872 Os
0.376 0.872 0.376 Os
0.376 0.376 0.376 Os
0.000 0.000 0.000 La

=====

Entry 20:
LaPOs2 (PBE, optimized geometry); Fermi-level density of states = 1.152 states/eV/atom; energy of formation from the pure elements = 56.7 meV per atom; DFT total energy = -8.142 eV per atom
1.0
-1.263 -2.399 -1.054
1.777 -2.105 2.659
-5.060 0.874 4.074
Os La P
2 1 1
Direct
0.500 0.500 0.249 Os
0.000 0.000 0.072 Os
0.500 0.500 0.749 La
0.000 0.000 0.430 P